a | BaS2BrN: optimized geometry, PBEsol.

Cell: 6.059 6.059 5.258 Å, 90.00 90.00 90.00°
Space group P4/mmm (No. 123)
Symmetry-distinct sites (fractional):
Ba  0.000  0.000  0.000 (multiplicity 1)
S  0.000  0.500  0.000 (multiplicity 2)
Br  0.500  0.500  0.500 (multiplicity 1)
N  0.000  0.000  0.500 (multiplicity 1)


b | BaS2BrN: optimized geometry, PBEsol.

Cell: 5.039 5.039 4.270 Å, 90.00 90.00 90.00°
Space group P4/mmm (No. 123)
Symmetry-distinct sites (fractional):
Ba  0.000  0.000  0.000 (multiplicity 1)
S  0.000  0.500  0.500 (multiplicity 2)
Br  0.500  0.500  0.500 (multiplicity 1)
N  0.500  0.500  0.000 (multiplicity 1)


Most stable: b